FeGeF3: optimized geometry, GGA+U.

## Properties
* distance to the lowest polymorph of the same formula: 0.000 eV/atom
* DOS(E_F): 1.0077 states/eV/atom
* symmetry: Pm-3m (221)
* E: -22.68 eV/cell

a b c (Å): 4.130 4.130 4.130
angles (deg): 90.00 90.00 90.00
Each line ends with the local moment (μB).
Sites, in units of the cell vectors:
Ge: 0.500 0.500 0.500  -0.03
Fe: 0.000 0.000 0.000  4.01
F: 0.000 0.500 0.000  0.06
F: 0.500 0.000 0.000  0.10
F: 0.000 0.000 0.500  0.03